AcNd3Pb2 after structural relaxation, computed with PBE-GGA.

Calculated values
Space group = C2/m (12)
Formation enthalpy at 0 K = -0.3734 eV per atom

Cell lengths 9.8954, 9.8954, 9.8935 Å; angles 113.38, 113.38, 28.47 degrees
Positions (direct):
Ac 0.1161 0.1161 0.1375
Ac 0.8839 0.8839 0.8625
Nd 0.0575 0.0575 0.6869
Nd 0.3071 0.3071 0.1129
Nd 0.3554 0.3554 0.5179
Nd 0.6446 0.6446 0.4821
Nd 0.6929 0.6929 0.8871
Nd 0.9425 0.9425 0.3131
Pb 0.2401 0.2401 0.7057
Pb 0.4896 0.4896 0.1534
Pb 0.5104 0.5104 0.8466
Pb 0.7599 0.7599 0.2943



Ac2NdPb3 after structural relaxation, computed with PBE-GGA.

Calculated values
Space group = Cmmm (65)
Formation enthalpy at 0 K = -0.4742 eV per atom
Energy above the lowest structure with this stoichiometry = 0 meV/atom

Cell lengths 9.6335, 9.6335, 7.3639 Å; angles 90.00, 90.00, 143.22 degrees
Positions (direct):
Ac 0.0000 0.0000 0.0000
Ac 0.0000 0.0000 0.5000
Ac 0.3348 0.6652 0.0000
Ac 0.6652 0.3348 0.0000
Nd 0.3334 0.6666 0.5000
Nd 0.6666 0.3334 0.5000
Pb 0.1702 0.8298 0.2698
Pb 0.1702 0.8298 0.7302
Pb 0.5000 0.5000 0.2644
Pb 0.5000 0.5000 0.7356
Pb 0.8298 0.1702 0.2698
Pb 0.8298 0.1702 0.7302



Ac2NdPb9 after structural relaxation, computed with PBE-GGA.

Calculated values
Space group = P4/mmm (123)
Formation enthalpy at 0 K = -0.3973 eV per atom

Cell lengths 5.0299, 5.0299, 14.9962 Å; angles 90.00, 90.00, 90.00 degrees
Positions (direct):
Ac 0.0000 0.0000 0.1701
Ac 0.0000 0.0000 0.8299
Nd 0.0000 0.0000 0.5000
Pb 0.0000 0.5000 0.0000
Pb 0.0000 0.5000 0.3399
Pb 0.0000 0.5000 0.6601
Pb 0.5000 0.0000 0.0000
Pb 0.5000 0.0000 0.3399
Pb 0.5000 0.0000 0.6601
Pb 0.5000 0.5000 0.1696
Pb 0.5000 0.5000 0.5000
Pb 0.5000 0.5000 0.8304



AcNd2Pb after structural relaxation, computed with PBE-GGA.

Calculated values
Space group = P2_1/m (11)
Formation enthalpy at 0 K = -0.2577 eV per atom
Energy above the lowest structure with this stoichiometry = 36 meV/atom

Cell lengths 4.3922, 10.2208, 6.7787 Å; angles 90.00, 108.85, 90.00 degrees
Positions (direct):
Ac 0.0532 0.2500 0.1068
Ac 0.9468 0.7500 0.8932
Nd 0.3589 0.0383 0.7198
Nd 0.3589 0.4617 0.7198
Nd 0.6411 0.5383 0.2802
Nd 0.6411 0.9617 0.2802
Pb 0.2338 0.7500 0.4657
Pb 0.7662 0.2500 0.5343



AcNd2Pb after structural relaxation, computed with PBE-GGA.

Calculated values
Space group = P4/mmm (123)
Formation enthalpy at 0 K = -0.2936 eV per atom
Energy above the lowest structure with this stoichiometry = 0 meV/atom

Cell lengths 5.1605, 5.1605, 5.0408 Å; angles 90.00, 90.00, 90.00 degrees
Positions (direct):
Ac 0.0000 0.0000 0.0000
Nd 0.0000 0.5000 0.5000
Nd 0.5000 0.0000 0.5000
Pb 0.5000 0.5000 0.0000



Ac3NdPb2 after structural relaxation, computed with PBE-GGA.

Calculated values
Space group = P-4m2 (115)
Formation enthalpy at 0 K = -0.4016 eV per atom
Energy above the lowest structure with this stoichiometry = 0 meV/atom

Cell lengths 4.9670, 4.9670, 9.2873 Å; angles 90.00, 90.00, 90.00 degrees
Positions (direct):
Ac 0.0000 0.0000 0.0000
Ac 0.0000 0.5000 0.6506
Ac 0.5000 0.0000 0.3494
Nd 0.5000 0.5000 0.0000
Pb 0.0000 0.5000 0.2754
Pb 0.5000 0.0000 0.7246



Ac3NdPb12 after structural relaxation, computed with PBE-GGA.

Calculated values
Space group = P4/mmm (123)
Formation enthalpy at 0 K = -0.4039 eV per atom

Cell lengths 5.0517, 5.0517, 19.9653 Å; angles 90.00, 90.00, 90.00 degrees
Positions (direct):
Ac 0.0000 0.0000 0.0000
Ac 0.0000 0.0000 0.2543
Ac 0.0000 0.0000 0.7457
Nd 0.0000 0.0000 0.5000
Pb 0.0000 0.5000 0.1272
Pb 0.0000 0.5000 0.3809
Pb 0.0000 0.5000 0.6191
Pb 0.0000 0.5000 0.8728
Pb 0.5000 0.0000 0.1272
Pb 0.5000 0.0000 0.3809
Pb 0.5000 0.0000 0.6191
Pb 0.5000 0.0000 0.8728
Pb 0.5000 0.5000 0.0000
Pb 0.5000 0.5000 0.2535
Pb 0.5000 0.5000 0.5000
Pb 0.5000 0.5000 0.7465



AcNdPb after structural relaxation, computed with PBE-GGA.

Calculated values
Space group = F-43m (216)
Formation enthalpy at 0 K = -0.2340 eV per atom
Energy above the lowest structure with this stoichiometry = 200 meV/atom

Cell lengths 7.8241, 7.8241, 7.8241 Å; angles 90.00, 90.00, 90.00 degrees
Positions (direct):
Ac 0.0000 0.0000 0.0000
Ac 0.0000 0.5000 0.5000
Ac 0.5000 0.0000 0.5000
Ac 0.5000 0.5000 0.0000
Nd 0.0000 0.0000 0.5000
Nd 0.0000 0.5000 0.0000
Nd 0.5000 0.0000 0.0000
Nd 0.5000 0.5000 0.5000
Pb 0.2500 0.2500 0.7500
Pb 0.2500 0.7500 0.2500
Pb 0.7500 0.2500 0.2500
Pb 0.7500 0.7500 0.7500



Ac3NdPb2 after structural relaxation, computed with PBE-GGA.

Calculated values
Space group = Ibam (72)
Formation enthalpy at 0 K = -0.1984 eV per atom
Energy above the lowest structure with this stoichiometry = 203 meV/atom

Cell lengths 9.7547, 9.7547, 9.7547 Å; angles 133.28, 72.27, 128.24 degrees
Positions (direct):
Ac 0.0415 0.7500 0.2915
Ac 0.2500 0.2500 0.0000
Ac 0.4585 0.7500 0.7085
Ac 0.5415 0.2500 0.2915
Ac 0.7500 0.7500 0.0000
Ac 0.9585 0.2500 0.7085
Nd 0.0000 0.5000 0.5000
Nd 0.5000 0.0000 0.5000
Pb 0.1407 0.1835 0.3242
Pb 0.3593 0.6835 0.0429
Pb 0.6407 0.3165 0.9571
Pb 0.8593 0.8165 0.6758



AcNdPb2 after structural relaxation, computed with PBE-GGA.

Calculated values
Space group = Pm (6)
Formation enthalpy at 0 K = -0.5232 eV per atom

Cell lengths 4.8529, 4.6402, 6.6336 Å; angles 90.00, 111.40, 90.00 degrees
Positions (direct):
Ac 0.0000 0.0000 0.0000
Nd 0.2660 0.5000 0.5352
Pb 0.5452 0.5000 0.0903
Pb 0.7282 0.0000 0.4597



AcNd5Pb4 after structural relaxation, computed with PBE-GGA.

Calculated values
Space group = C2/m (12)
Formation enthalpy at 0 K = -0.4613 eV per atom

Cell lengths 9.0575, 9.0575, 8.4951 Å; angles 105.23, 105.23, 31.51 degrees
Positions (direct):
Ac 0.0000 0.0000 0.0000
Nd 0.0000 0.0000 0.5000
Nd 0.1974 0.1974 0.8346
Nd 0.3542 0.3542 0.5639
Nd 0.6458 0.6458 0.4361
Nd 0.8026 0.8026 0.1654
Pb 0.1949 0.1949 0.2460
Pb 0.4381 0.4381 0.2352
Pb 0.5619 0.5619 0.7648
Pb 0.8051 0.8051 0.7540



Ac5NdPb6 after structural relaxation, computed with PBE-GGA.

Calculated values
Space group = C2/m (12)
Formation enthalpy at 0 K = -0.4721 eV per atom

Cell lengths 10.3754, 10.3754, 6.1597 Å; angles 107.09, 107.09, 124.97 degrees
Positions (direct):
Ac 0.0000 0.0000 0.0000
Ac 0.1609 0.8391 0.5000
Ac 0.3263 0.6737 0.0000
Ac 0.6737 0.3263 0.0000
Ac 0.8391 0.1609 0.5000
Nd 0.5000 0.5000 0.5000
Pb 0.1013 0.4280 0.2652
Pb 0.2761 0.2761 0.7762
Pb 0.4280 0.1013 0.2652
Pb 0.5720 0.8987 0.7348
Pb 0.7239 0.7239 0.2238
Pb 0.8987 0.5720 0.7348



Ac2NdPb after structural relaxation, computed with PBE-GGA.

Calculated values
Space group = P4/mmm (123)
Formation enthalpy at 0 K = -0.2056 eV per atom
Energy above the lowest structure with this stoichiometry = 60 meV/atom

Cell lengths 4.5106, 4.5106, 7.4086 Å; angles 90.00, 90.00, 90.00 degrees
Positions (direct):
Ac 0.0000 0.0000 0.2318
Ac 0.0000 0.0000 0.7682
Nd 0.5000 0.5000 0.5000
Pb 0.5000 0.5000 0.0000



AcNd4Pb4 after structural relaxation, computed with PBE-GGA.

Calculated values
Space group = I4/m (87)
Formation enthalpy at 0 K = -0.3287 eV per atom

Cell lengths 8.0089, 8.0089, 8.0089 Å; angles 99.24, 99.24, 132.75 degrees
Positions (direct):
Ac 0.0000 0.0000 0.0000
Nd 0.1906 0.6052 0.7957
Nd 0.3948 0.1906 0.5854
Nd 0.6052 0.8094 0.4146
Nd 0.8094 0.3948 0.2043
Pb 0.1094 0.3066 0.4160
Pb 0.3066 0.8906 0.1972
Pb 0.6934 0.1094 0.8028
Pb 0.8906 0.6934 0.5840



AcNdPb2 after structural relaxation, computed with PBE-GGA.

Calculated values
Space group = P4/mmm (123)
Formation enthalpy at 0 K = -0.4896 eV per atom

Cell lengths 3.7605, 3.7605, 9.2958 Å; angles 90.00, 90.00, 90.00 degrees
Positions (direct):
Ac 0.0000 0.0000 0.0000
Nd 0.0000 0.0000 0.5000
Pb 0.5000 0.5000 0.2615
Pb 0.5000 0.5000 0.7385



AcNdPb2 after structural relaxation, computed with PBE-GGA.

Calculated values
Space group = P4/mmm (123)
Formation enthalpy at 0 K = -0.4716 eV per atom

Cell lengths 5.3108, 5.3108, 4.6778 Å; angles 90.00, 90.00, 90.00 degrees
Positions (direct):
Ac 0.0000 0.0000 0.0000
Nd 0.5000 0.5000 0.0000
Pb 0.0000 0.5000 0.5000
Pb 0.5000 0.0000 0.5000



Ac2NdPb3 after structural relaxation, computed with PBE-GGA.

Calculated values
Space group = Immm (71)
Formation enthalpy at 0 K = -0.4279 eV per atom
Energy above the lowest structure with this stoichiometry = 46 meV/atom

Cell lengths 5.5029, 6.7643, 12.1094 Å; angles 90.00, 90.00, 90.00 degrees
Positions (direct):
Ac 0.0000 0.0000 0.1732
Ac 0.0000 0.0000 0.8268
Ac 0.5000 0.5000 0.3268
Ac 0.5000 0.5000 0.6732
Nd 0.0000 0.0000 0.5000
Nd 0.5000 0.5000 0.0000
Pb 0.0000 0.5000 0.1430
Pb 0.0000 0.5000 0.5000
Pb 0.0000 0.5000 0.8570
Pb 0.5000 0.0000 0.0000
Pb 0.5000 0.0000 0.3570
Pb 0.5000 0.0000 0.6430



Ac3Nd2Pb3 after structural relaxation, computed with PBE-GGA.

Calculated values
Space group = Immm (71)
Formation enthalpy at 0 K = -0.3914 eV per atom
Energy above the lowest structure with this stoichiometry = 121 meV/atom

Cell lengths 4.5975, 5.3431, 23.2190 Å; angles 90.00, 90.00, 90.00 degrees
Positions (direct):
Ac 0.0000 0.0000 0.0000
Ac 0.0000 0.5000 0.1206
Ac 0.0000 0.5000 0.8794
Ac 0.5000 0.0000 0.3794
Ac 0.5000 0.0000 0.6206
Ac 0.5000 0.5000 0.5000
Nd 0.0000 0.0000 0.2437
Nd 0.0000 0.0000 0.7563
Nd 0.5000 0.5000 0.2563
Nd 0.5000 0.5000 0.7437
Pb 0.0000 0.0000 0.5000
Pb 0.0000 0.5000 0.3601
Pb 0.0000 0.5000 0.6399
Pb 0.5000 0.0000 0.1399
Pb 0.5000 0.0000 0.8601
Pb 0.5000 0.5000 0.0000



AcNdPb after structural relaxation, computed with PBE-GGA.

Calculated values
Space group = P4/mmm (123)
Formation enthalpy at 0 K = -0.1167 eV per atom
Energy above the lowest structure with this stoichiometry = 317 meV/atom

Cell lengths 4.4583, 4.4583, 6.6001 Å; angles 90.00, 90.00, 90.00 degrees
Positions (direct):
Ac 0.0000 0.0000 0.0000
Nd 0.5000 0.5000 0.5000
Pb 0.0000 0.0000 0.5000



Ac3Nd2Pb3 after structural relaxation, computed with PBE-GGA.

Calculated values
Space group = P6_3/mcm (193)
Formation enthalpy at 0 K = -0.5126 eV per atom
Energy above the lowest structure with this stoichiometry = 0 meV/atom

Cell lengths 9.8058, 9.8058, 7.0478 Å; angles 90.00, 90.00, 120.00 degrees
Positions (direct):
Ac 0.0000 0.2452 0.2500
Ac 0.0000 0.7548 0.7500
Ac 0.2452 0.0000 0.2500
Ac 0.2452 0.2452 0.7500
Ac 0.7548 0.0000 0.7500
Ac 0.7548 0.7548 0.2500
Nd 0.3333 0.6667 0.0000
Nd 0.3333 0.6667 0.5000
Nd 0.6667 0.3333 0.0000
Nd 0.6667 0.3333 0.5000
Pb 0.0000 0.3991 0.7500
Pb 0.0000 0.6009 0.2500
Pb 0.3991 0.0000 0.7500
Pb 0.3991 0.3991 0.2500
Pb 0.6009 0.0000 0.2500
Pb 0.6009 0.6009 0.7500